1.
Below is a relaxed structure of PmSn4Hg, with properties calculated at the PBE level.

Calculated values
DFT formation energy = -19 kJ per mole of atoms
uncorrected energy = -22.25 eV for the cell shown

extended XYZ file:
```
6
Lattice="6.1885 0.0000 0.0000 3.0943 5.3594 0.0000 3.0943 1.7865 5.0529" Properties=species:S:1:pos:R:3 pbc="T T T"
Sn 6.1885 1.7886 3.1573
Sn 7.7338 4.4651 3.1573
Sn 4.6432 4.4651 3.1573
Hg 0.0000 0.0000 0.0000
Sn 6.1885 3.5729 0.6339
Pm 3.0943 1.7865 1.2632
```


2.
Below is a relaxed structure of Nd8Dy3Y3, with properties calculated at the PBE level.

Calculated values
DFT formation energy = 10 kJ per mole of atoms
uncorrected energy = -69.85 eV for the cell shown

extended XYZ file:
```
14
Lattice="-3.8291 2.8972 3.0831 -6.8864 3.1553 -6.2367 -4.9611 -6.5908 5.3127" Properties=species:S:1:pos:R:3 pbc="T T T"
Nd -6.1423 -1.4664 4.3109
Y -7.8383 -0.2691 1.0795
Y -5.3991 1.6573 2.2986
Dy -5.3100 -4.8247 3.2198
Nd -4.4198 -1.7018 1.3909
Dy -1.9145 1.4486 1.5416
Dy -6.5375 1.3892 -4.1439
Nd -4.8203 0.3257 -1.0118
Nd -11.2568 1.1635 0.7682
Y -10.2774 -2.1956 -0.1395
Nd -8.6673 -3.4606 3.0489
Nd -10.8562 -0.8640 3.1709
Nd -9.5343 0.9281 -2.1518
Nd -7.0093 2.9223 -0.8899
```


3.
Below is a relaxed structure of CaReSb2, with properties calculated at the PBE level.

Calculated values
formation energy from raw total energies = 0.00 eV per atom
distance to the lowest polymorph of the same formula = 0.10 eV per formula unit
uncorrected energy = -22.71 eV for the cell shown

extended XYZ file:
```
4
Lattice="3.3534 0.0012 0.0000 -0.0019 3.3534 0.0000 0.0000 0.0000 7.8819" Properties=species:S:1:pos:R:3 pbc="T T T"
Ca 1.6757 1.6773 1.9705
Re 1.6757 1.6773 5.9115
Sb 0.0000 0.0000 4.2943
Sb 0.0000 0.0000 7.5286
```


4.
Below is a relaxed structure of PuAg3, with properties calculated at the PBE level.

Calculated values
DFT formation energy = 13 kJ per mole of atoms
uncorrected energy = -22.35 eV for the cell shown

extended XYZ file:
```
4
Lattice="4.9878 0.0000 0.0000 2.4939 4.3196 0.0000 2.4939 1.4399 4.0725" Properties=species:S:1:pos:R:3 pbc="T T T"
Ag 0.0000 0.0000 0.0000
Pu 4.9878 2.8797 2.0363
Ag 7.4817 4.3196 3.0544
Ag 2.4939 1.4399 1.0181
```


5.
Below is a relaxed structure of Ca2AsAu, with properties calculated at the PBE level.

Calculated values
DFT formation energy = -38 kJ per mole of atoms
uncorrected energy = -13.50 eV for the cell shown

extended XYZ file:
```
4
Lattice="5.1299 0.0000 0.0000 2.5649 4.4426 0.0000 2.5649 1.4809 4.1885" Properties=species:S:1:pos:R:3 pbc="T T T"
Ca 2.5649 1.4809 1.0471
Au 7.6948 4.4426 3.1414
Ca 0.0000 0.0000 0.0000
As 5.1299 2.9617 2.0943
```


6.
Below is a relaxed structure of Pr2CoSe, with properties calculated at the PBE level.

Calculated values
formation energy from raw total energies = -0.79 eV per atom
distance to the lowest polymorph of the same formula = 0.49 eV per formula unit
uncorrected energy = -23.31 eV for the cell shown

extended XYZ file:
```
4
Lattice="-0.2002 -1.1925 -3.8690 1.9436 -3.3520 -1.1909 -5.3354 -5.4894 -0.1554" Properties=species:S:1:pos:R:3 pbc="T T T"
Pr -0.7574 -2.4140 -1.3402
Co 0.0000 0.0000 0.0000
Pr -2.8346 -7.6199 -3.8751
Se -1.7960 -5.0170 -2.6077
```


7.
Below is a relaxed structure of CaZr3Cd, with properties calculated at the PBE level.

Calculated values
distance to the lowest polymorph of the same formula = 2.89 eV per formula unit
DFT formation energy = 144 kJ per mole of atoms
uncorrected energy = -21.09 eV for the cell shown

extended XYZ file:
```
5
Lattice="5.1034 0.0000 0.0000 0.0000 5.1034 0.0000 0.0000 0.0000 5.1034" Properties=species:S:1:pos:R:3 pbc="T T T"
Zr 0.0000 0.0000 2.5517
Zr 2.5517 0.0000 0.0000
Cd 2.5517 2.5517 2.5517
Zr 0.0000 2.5517 0.0000
Ca 0.0000 0.0000 0.0000
```


8.
Below is a relaxed structure of Be2ZnW, with properties calculated at the PBE level.

Calculated values
DFT formation energy = 26 kJ per mole of atoms
uncorrected energy = -20.62 eV for the cell shown

extended XYZ file:
```
4
Lattice="-1.0781 -2.3759 -4.0326 -1.9693 -4.3752 0.2204 -0.6571 4.3574 1.9107" Properties=species:S:1:pos:R:3 pbc="T T T"
W -1.5237 -3.3756 -1.9061
Be 0.0000 0.0000 0.0000
Be -2.0750 -1.6967 0.1125
Zn -1.6295 -0.6970 -2.0140
```


9.
Below is a relaxed structure of RbTmCdCl6, with properties calculated at the PBE level.

Calculated values
formation energy from raw total energies = -1.85 eV per atom
uncorrected energy = -68.19 eV for the cell shown

extended XYZ file:
```
18
Lattice="6.9190 0.0000 0.0000 -3.4595 5.9920 0.0000 0.0000 0.0000 14.5465" Properties=species:S:1:pos:R:3 pbc="T T T"
Cl 4.3108 0.0334 5.1516
Cd 3.4595 1.9973 10.9099
Cl 2.6082 0.0334 2.1217
Cl -1.2752 2.2755 9.3949
Cl 0.8513 5.9586 12.4248
Rb 0.0000 0.0000 0.0000
Cl -0.8513 5.9586 9.3949
Cd 0.0000 3.9947 3.6366
Rb 0.0000 0.0000 7.2732
Cl 5.5859 2.2421 2.1217
Tm 3.4595 1.9973 3.6366
Cl 2.1843 3.7165 2.1217
Cl 1.2752 2.2755 12.4248
Cl -2.1264 3.7499 12.4248
Cl 1.3331 2.2421 5.1516
Tm 0.0000 3.9947 10.9099
Cl 4.7346 3.7165 5.1516
Cl 2.1264 3.7499 9.3949
```


10.
Below is a relaxed structure of K4Rb2Ag2O, with properties calculated at the PBE level.

Calculated values
formation energy from raw total energies = -0.32 eV per atom
uncorrected energy = -19.83 eV for the cell shown

extended XYZ file:
```
9
Lattice="8.1032 -0.1442 -0.2081 -4.0161 7.0394 0.2081 -4.0161 -2.2784 6.6637" Properties=species:S:1:pos:R:3 pbc="T T T"
Rb -1.8999 1.1262 1.6255
K 1.8699 1.0232 1.4768
Ag 0.0355 -0.0210 4.9458
O 0.0000 0.0000 0.0000
Rb -6.1323 3.6348 5.2464
K -4.0161 -0.1469 5.1870
Ag 0.0355 4.6379 1.7180
K -4.0161 4.9079 1.6848
K -1.7989 3.5937 5.1870
```


11.
Below is a relaxed structure of MgPa2Ni9, with properties calculated at the PBE level.

Calculated values
distance to the lowest polymorph of the same formula = 0.00 eV per formula unit
DFT formation energy = -33 kJ per mole of atoms
uncorrected energy = -76.68 eV for the cell shown

extended XYZ file:
```
12
Lattice="-3.0769 -0.0354 2.3012 0.1642 -3.8356 0.1605 6.6494 0.6573 8.9010" Properties=species:S:1:pos:R:3 pbc="T T T"
Ni 1.7862 0.3109 5.6011
Ni 4.0455 0.5342 8.6254
Pa 2.1298 0.2105 2.8510
Ni 3.4068 -1.5892 4.5308
Pa 4.5196 0.4467 6.0500
Ni -1.4564 -1.9355 1.2309
Ni 0.7526 -1.7172 4.1879
Ni 1.1476 -1.8125 1.5065
Ni 2.9841 -1.4966 7.1749
Ni -0.4730 0.0876 2.5768
Ni 5.6661 -1.3658 7.5551
Mg 0.0000 0.0000 0.0000
```